# Pm3Ag5S12, optimized geometry, DFT PBE
# - SG = Ia-3d (230)
# - formation energy from raw total energies (eV/atom) = -0.52
data_Pm3Ag5S12
_chemical_formula_sum 'Pm12 Ag20 S48'
_cell_length_a 13.423
_cell_length_b 13.423
_cell_length_c 13.423
_cell_angle_alpha 109.47
_cell_angle_beta 109.47
_cell_angle_gamma 109.47
_symmetry_space_group_name_H-M 'P 1'
_symmetry_Int_Tables_number 1
loop_
_symmetry_equiv_pos_as_xyz
'x,y,z'
loop_
_atom_site_label
_atom_site_type_symbol
_atom_site_fract_x
_atom_site_fract_y
_atom_site_fract_z
Pm1 Pm 0.625 0.375 0.750
Pm2 Pm 0.750 0.375 0.125
Pm3 Pm 0.375 0.625 0.250
Pm4 Pm 0.125 0.250 0.875
Pm5 Pm 0.250 0.125 0.375
Pm6 Pm 0.875 0.750 0.125
Pm7 Pm 0.250 0.625 0.875
Pm8 Pm 0.750 0.875 0.625
Pm9 Pm 0.375 0.750 0.625
Pm10 Pm 0.625 0.250 0.375
Pm11 Pm 0.125 0.875 0.750
Pm12 Pm 0.875 0.125 0.250
Ag1 Ag 0.000 0.000 0.500
Ag2 Ag 0.750 0.625 0.375
Ag3 Ag 0.500 0.500 0.000
Ag4 Ag 0.250 0.875 0.125
Ag5 Ag 0.625 0.750 0.875
Ag6 Ag 0.500 0.000 0.000
Ag7 Ag 0.500 0.500 0.500
Ag8 Ag 0.375 0.125 0.750
Ag9 Ag 0.000 0.500 0.000
Ag10 Ag 0.125 0.375 0.250
Ag11 Ag 0.625 0.875 0.250
Ag12 Ag 0.375 0.250 0.125
Ag13 Ag 0.875 0.250 0.625
Ag14 Ag 0.250 0.375 0.625
Ag15 Ag 0.125 0.750 0.375
Ag16 Ag 0.000 0.000 0.000
Ag17 Ag 0.000 0.500 0.500
Ag18 Ag 0.500 0.000 0.500
Ag19 Ag 0.875 0.625 0.750
Ag20 Ag 0.750 0.125 0.875
S1 S 0.832 0.920 0.290
S2 S 0.412 0.370 0.580
S3 S 0.412 0.042 0.332
S4 S 0.958 0.370 0.290
S5 S 0.668 0.210 0.580
S6 S 0.332 0.542 0.412
S7 S 0.088 0.920 0.130
S8 S 0.458 0.668 0.088
S9 S 0.088 0.168 0.458
S10 S 0.920 0.088 0.630
S11 S 0.290 0.420 0.832
S12 S 0.790 0.332 0.920
S13 S 0.542 0.332 0.912
S14 S 0.332 0.790 0.420
S15 S 0.710 0.130 0.042
S16 S 0.580 0.870 0.412
S17 S 0.580 0.710 0.668
S18 S 0.210 0.668 0.080
S19 S 0.668 0.458 0.588
S20 S 0.080 0.912 0.370
S21 S 0.370 0.412 0.080
S22 S 0.042 0.412 0.832
S23 S 0.958 0.588 0.168
S24 S 0.920 0.832 0.790
S25 S 0.168 0.080 0.710
S26 S 0.912 0.080 0.870
S27 S 0.210 0.542 0.630
S28 S 0.710 0.580 0.168
S29 S 0.630 0.042 0.210
S30 S 0.870 0.290 0.458
S31 S 0.290 0.870 0.958
S32 S 0.870 0.580 0.912
S33 S 0.130 0.710 0.542
S34 S 0.168 0.088 0.958
S35 S 0.912 0.832 0.542
S36 S 0.630 0.588 0.920
S37 S 0.458 0.790 0.870
S38 S 0.832 0.912 0.042
S39 S 0.370 0.958 0.790
S40 S 0.420 0.290 0.332
S41 S 0.542 0.210 0.130
S42 S 0.588 0.958 0.668
S43 S 0.130 0.420 0.088
S44 S 0.790 0.458 0.370
S45 S 0.080 0.168 0.210
S46 S 0.042 0.630 0.710
S47 S 0.420 0.130 0.588
S48 S 0.588 0.630 0.420

# HfAl2Ag, optimized geometry, DFT PBE
# - energy of formation (eV/atom) = -0.281
# - SG = P4/mmm (123)
data_HfAl2Ag
_chemical_formula_sum 'Hf1 Al2 Ag1'
_cell_length_a 4.021
_cell_length_b 4.189
_cell_length_c 4.189
_cell_angle_alpha 90.00
_cell_angle_beta 90.00
_cell_angle_gamma 90.00
_symmetry_space_group_name_H-M 'P 1'
_symmetry_Int_Tables_number 1
loop_
_symmetry_equiv_pos_as_xyz
'x,y,z'
loop_
_atom_site_label
_atom_site_type_symbol
_atom_site_fract_x
_atom_site_fract_y
_atom_site_fract_z
Hf1 Hf 0.500 0.500 0.500
Al1 Al 0.000 0.000 0.500
Al2 Al 0.000 0.500 0.000
Ag1 Ag 0.500 0.000 0.000

# PmAl3Ni, optimized geometry, DFT PBE
# - energy of formation (eV/atom) = -0.585
# - SG = Pnma (62)
data_PmAl3Ni
_chemical_formula_sum 'Pm4 Al12 Ni4'
_cell_length_a 4.094
_cell_length_b 8.228
_cell_length_c 10.812
_cell_angle_alpha 90.00
_cell_angle_beta 90.00
_cell_angle_gamma 90.00
_symmetry_space_group_name_H-M 'P 1'
_symmetry_Int_Tables_number 1
loop_
_symmetry_equiv_pos_as_xyz
'x,y,z'
loop_
_atom_site_label
_atom_site_type_symbol
_atom_site_fract_x
_atom_site_fract_y
_atom_site_fract_z
Al1 Al 0.750 0.640 0.724
Al2 Al 0.750 0.445 0.918
Al3 Al 0.250 0.880 0.784
Al4 Al 0.250 0.360 0.276
Al5 Al 0.750 0.120 0.216
Al6 Al 0.750 0.140 0.776
Al7 Al 0.250 0.860 0.224
Al8 Al 0.250 0.555 0.082
Al9 Al 0.250 0.055 0.418
Al10 Al 0.750 0.620 0.284
Al11 Al 0.250 0.380 0.716
Al12 Al 0.750 0.945 0.582
Ni1 Ni 0.750 0.899 0.356
Ni2 Ni 0.250 0.101 0.644
Ni3 Ni 0.250 0.601 0.856
Ni4 Ni 0.750 0.399 0.144
Pm1 Pm 0.250 0.683 0.510
Pm2 Pm 0.250 0.183 0.990
Pm3 Pm 0.750 0.317 0.490
Pm4 Pm 0.750 0.817 0.010

# CaTaC2, optimized geometry, DFT PBE
# - energy of formation (eV/atom) = 0.266
# - SG = I-42d (122)
data_CaTaC2
_chemical_formula_sum 'Ca2 Ta2 C4'
_cell_length_a 5.875
_cell_length_b 5.875
_cell_length_c 5.631
_cell_angle_alpha 58.56
_cell_angle_beta 58.56
_cell_angle_gamma 90.00
_symmetry_space_group_name_H-M 'P 1'
_symmetry_Int_Tables_number 1
loop_
_symmetry_equiv_pos_as_xyz
'x,y,z'
loop_
_atom_site_label
_atom_site_type_symbol
_atom_site_fract_x
_atom_site_fract_y
_atom_site_fract_z
C1 C 0.692 0.125 0.250
C2 C 0.875 0.942 0.750
C3 C 0.058 0.625 0.250
C4 C 0.375 0.308 0.750
Ca1 Ca 0.500 0.500 0.000
Ca2 Ca 0.250 0.750 0.500
Ta1 Ta 0.750 0.250 0.500
Ta2 Ta 0.000 0.000 0.000

# Ac2Tl3Hg4, optimized geometry, DFT PBE
# - energy of formation (eV/atom) = -0.238
# - SG = Cmce (64)
data_Ac2Tl3Hg4
_chemical_formula_sum 'Ac4 Tl6 Hg8'
_cell_length_a 6.474
_cell_length_b 9.900
_cell_length_c 9.078
_cell_angle_alpha 90.00
_cell_angle_beta 110.89
_cell_angle_gamma 90.00
_symmetry_space_group_name_H-M 'P 1'
_symmetry_Int_Tables_number 1
loop_
_symmetry_equiv_pos_as_xyz
'x,y,z'
loop_
_atom_site_label
_atom_site_type_symbol
_atom_site_fract_x
_atom_site_fract_y
_atom_site_fract_z
Hg1 Hg 0.817 0.053 0.633
Hg2 Hg 0.776 0.250 0.051
Hg3 Hg 0.683 0.553 0.367
Hg4 Hg 0.276 0.250 0.051
Hg5 Hg 0.724 0.750 0.949
Hg6 Hg 0.317 0.447 0.633
Hg7 Hg 0.183 0.947 0.367
Hg8 Hg 0.224 0.750 0.949
Ac1 Ac 0.619 0.944 0.239
Ac2 Ac 0.119 0.556 0.239
Ac3 Ac 0.381 0.056 0.761
Ac4 Ac 0.881 0.444 0.761
Tl1 Tl 0.454 0.250 0.409
Tl2 Tl 0.954 0.250 0.409
Tl3 Tl 0.000 0.000 0.000
Tl4 Tl 0.546 0.750 0.591
Tl5 Tl 0.046 0.750 0.591
Tl6 Tl 0.500 0.500 0.000

# AgOs3, optimized geometry, DFT PBE
# - energy of formation (eV/atom) = 0.585
# - SG = C2/m (12)
data_AgOs3
_chemical_formula_sum 'Ag1 Os3'
_cell_length_a 4.804
_cell_length_b 4.804
_cell_length_c 11.086
_cell_angle_alpha 150.01
_cell_angle_beta 150.01
_cell_angle_gamma 33.29
_symmetry_space_group_name_H-M 'P 1'
_symmetry_Int_Tables_number 1
loop_
_symmetry_equiv_pos_as_xyz
'x,y,z'
loop_
_atom_site_label
_atom_site_type_symbol
_atom_site_fract_x
_atom_site_fract_y
_atom_site_fract_z
Ag1 Ag 0.000 0.000 0.000
Os1 Os 0.000 0.000 0.500
Os2 Os 0.972 0.972 0.732
Os3 Os 0.028 0.028 0.268